Entry from Alexandria via LeMat-Bulk: an optimized crystal structure of K2AcAuO4 (PBE).

Cell and atoms, written as POSCAR:
```
K2AcAuO4
1.0
-3.189 3.189 3.550
3.189 -3.189 3.550
3.189 3.189 -3.550
K Ac Au O
2 1 1 4
direct
0.000 0.000 0.000
0.750 0.250 0.500
0.250 0.750 0.500
0.500 0.500 0.000
0.265 0.344 0.556
0.291 0.735 0.079
0.656 0.212 0.921
0.788 0.709 0.444
```

## Properties
As for the total magnetic moment: 0.00 μB/f.u. The density of states at the Fermi level is 0.0 states/eV/f.u. The volume is 18.04 Å³ per atom. The calculation puts the formation energy (no corrections) at -1.61 eV per atom. As for the space group: I-4, No. 82.